Entry from the Alexandria database: a geometry-optimized Ho7CoI12 structure (PBE-GGA).

a b c (Å): 9.7129 9.7129 9.7129
angles (deg): 106.80 106.80 106.80
With the nearest neighbours (Å) after each atom.
Element x y z (fractional)
Ho 0.0000 0.0000 0.0000  6 I 3.03
Ho 0.2141 0.4794 0.4084  1 Co 2.59
Ho 0.4084 0.2141 0.4794  1 Co 2.59
Ho 0.4794 0.4084 0.2141  1 Co 2.59
Ho 0.5206 0.5916 0.7859  1 Co 2.59
Ho 0.5916 0.7859 0.5206  1 Co 2.59
Ho 0.7859 0.5206 0.5916  1 Co 2.59
Co 0.5000 0.5000 0.5000  6 Ho 2.59
I 0.0368 0.1142 0.3387  3 Ho 3.03-3.23
I 0.1142 0.3387 0.0368  3 Ho 3.03-3.23
I 0.1757 0.5697 0.7235  3 Ho 3.09-3.46
I 0.2765 0.8243 0.4303  3 Ho 3.09-3.46
I 0.3387 0.0368 0.1142  3 Ho 3.03-3.23
I 0.4303 0.2765 0.8243  3 Ho 3.09-3.46
I 0.5697 0.7235 0.1757  3 Ho 3.09-3.46
I 0.6613 0.9632 0.8858  3 Ho 3.03-3.23
I 0.7235 0.1757 0.5697  3 Ho 3.09-3.46
I 0.8243 0.4303 0.2765  3 Ho 3.09-3.46
I 0.8858 0.6613 0.9632  3 Ho 3.03-3.23
I 0.9632 0.8858 0.6613  3 Ho 3.03-3.23

Results
total magnetization	0.0	μB/cell
ΔE_f (raw)	-1.19	eV per atom
DOS at the Fermi energy	0.05	states/eV/atom
calculated volume	38.36	Å³ per atom


Entry from the Alexandria database: a geometry-optimized Dy6Y2HoTm3 structure (PBE-GGA).

a b c (Å): 6.1156 6.1156 11.6957
angles (deg): 94.99 94.99 119.94
With the nearest neighbours (Å) after each atom.
Element x y z (fractional)
Dy 0.0843 0.4169 0.7521  3 Tm 3.51, 6 Dy 3.52-3.54, 1 Ho 3.55, 2 Y 3.55
Dy 0.2482 0.2482 0.2480  3 Tm 3.51, 6 Dy 3.52-3.54, 1 Ho 3.54, 2 Y 3.55
Dy 0.4169 0.0843 0.7521  3 Tm 3.51, 6 Dy 3.52-3.54, 1 Ho 3.55, 2 Y 3.55
Dy 0.5831 0.9157 0.2479  3 Tm 3.51, 6 Dy 3.52-3.54, 1 Ho 3.55, 2 Y 3.55
Dy 0.7518 0.7518 0.7520  3 Tm 3.51, 6 Dy 3.52-3.54, 1 Ho 3.54, 2 Y 3.55
Dy 0.9157 0.5831 0.2479  3 Tm 3.51, 6 Dy 3.52-3.54, 1 Ho 3.55, 2 Y 3.55
Y 0.3333 0.6667 0.5000  3 Ho 3.53, 3 Y 3.53, 6 Dy 3.55
Y 0.6667 0.3333 0.5000  3 Ho 3.53, 3 Y 3.53, 6 Dy 3.55
Ho 0.0000 0.0000 0.5000  6 Y 3.53, 6 Dy 3.54-3.55
Tm 0.1667 0.8333 0.0000  6 Dy 3.51, 6 Tm 3.53
Tm 0.5000 0.5000 0.0000  6 Dy 3.51, 6 Tm 3.53
Tm 0.8333 0.1667 0.0000  6 Dy 3.51, 6 Tm 3.53

Results
ΔH_f (0 K)	22	meV per atom
total magnetization	0.0	μB/cell
DOS at the Fermi energy	1.39	states/eV/atom
calculated volume	31.11	Å³ per atom


Entry from the Alexandria database: a geometry-optimized AlTe2Pb structure (PBE-GGA).

a b c (Å): 3.9397 3.9397 8.9207
angles (deg): 90.00 90.00 118.99
With the nearest neighbours (Å) after each atom.
Element x y z (fractional)
Al 0.0000 0.0000 0.0000  4 Te 2.74
Te 0.5000 0.5000 0.2094  2 Al 2.74
Te 0.5000 0.5000 0.7906  2 Al 2.74
Pb 0.0000 0.0000 0.5000  4 Te 3.27

Results
total magnetization	0.0	μB/cell
ΔE_f (raw)	-0.01	eV per atom
DOS at the Fermi energy	0.53	states/eV/atom
calculated volume	30.28	Å³ per atom


Entry from the Alexandria database: a geometry-optimized SmGdTh4 structure (PBE-GGA).

a b c (Å): 6.6499 6.6499 6.6499
angles (deg): 60.00 60.00 60.00
With the nearest neighbours (Å) after each atom.
Element x y z (fractional)
Sm 0.0000 0.0000 0.0000  12 Th 3.90, 4 Gd 4.07
Gd 0.7500 0.7500 0.7500  12 Th 3.90, 4 Sm 4.07
Th 0.3751 0.3751 0.3751  6 Th 3.32-3.33
Th 0.3751 0.3751 0.8747  6 Th 3.32-3.33
Th 0.3751 0.8747 0.3751  6 Th 3.32-3.33
Th 0.8747 0.3751 0.3751  6 Th 3.32-3.33

Results
ΔH_f (0 K)	262	meV per atom
total magnetization	7.4	μB/cell
DOS at the Fermi energy	2.05	states/eV/atom
calculated volume	34.66	Å³ per atom